1.
First-principles (PBE) data for a geometry-optimized Mg2RePt structure, as listed in Alexandria.

a b c (Å): 5.810 5.810 5.810
angles (deg): 151.95 132.12 56.41
Fractional coordinates of all 4 atoms:
Mg1 0.019 0.019 0.000
Mg2 0.723 0.223 0.500
Pt1 0.489 0.489 0.000
Re1 0.270 0.770 0.500

The calculation puts the uncorrected energy at -5.441 eV per atom. Its energy above the most stable polymorph in this dataset is 145 meV/atom.

2.
First-principles (PBE) data for a geometry-optimized MgRePt2 structure, as listed in Alexandria.

a b c (Å): 3.954 3.954 9.248
angles (deg): 77.66 77.66 90.00
Fractional coordinates of all 8 atoms:
Re1 0.000 0.000 0.000
Re2 0.750 0.250 0.500
Mg1 0.500 0.500 0.000
Mg2 0.250 0.750 0.500
Pt1 0.631 0.125 0.250
Pt2 0.119 0.625 0.250
Pt3 0.375 0.369 0.750
Pt4 0.875 0.881 0.750

The calculation puts the uncorrected energy at -6.198 eV per atom.

3.
First-principles (PBE) data for a geometry-optimized MgRePt2 structure, as listed in Alexandria.

a b c (Å): 3.283 3.283 5.863
angles (deg): 90.00 90.00 90.00
Fractional coordinates of all 4 atoms:
Mg1 0.500 0.500 0.766
Pt1 0.000 0.000 0.990
Pt2 0.500 0.500 0.264
Re1 0.000 0.000 0.480

The calculation puts the uncorrected energy at -6.561 eV per atom.

4.
First-principles (PBE) data for a geometry-optimized MgRePt2 structure, as listed in Alexandria.

a b c (Å): 4.864 4.864 4.869
angles (deg): 82.69 82.69 33.08
Fractional coordinates of all 4 atoms:
Mg1 0.254 0.254 0.214
Pt1 0.000 0.000 0.036
Pt2 0.752 0.752 0.707
Re1 0.494 0.494 0.542

The calculation puts the uncorrected energy at -6.846 eV per atom.

5.
First-principles (PBE) data for a geometry-optimized MgRePt2 structure, as listed in Alexandria.

a b c (Å): 4.760 4.760 2.772
angles (deg): 90.00 90.00 90.00
Fractional coordinates of all 4 atoms:
Mg1 0.000 0.500 0.500
Pt1 0.000 0.000 0.000
Pt2 0.500 0.500 0.000
Re1 0.500 0.000 0.500

The calculation puts the uncorrected energy at -6.837 eV per atom.

6.
First-principles (PBE) data for a geometry-optimized Mg2RePt structure, as listed in Alexandria.

a b c (Å): 4.492 4.492 4.492
angles (deg): 60.00 60.00 60.00
Fractional coordinates of all 4 atoms:
Re1 0.000 0.000 0.000
Mg1 0.250 0.250 0.250
Mg2 0.750 0.750 0.750
Pt1 0.500 0.500 0.500

The calculation puts the uncorrected energy at -5.254 eV per atom. Its energy above the most stable polymorph in this dataset is 332 meV/atom.

7.
First-principles (PBE) data for a geometry-optimized Mg2RePt structure, as listed in Alexandria.

a b c (Å): 4.748 2.794 4.856
angles (deg): 89.97 90.00 90.00
Fractional coordinates of all 4 atoms:
Mg1 0.000 0.875 0.041
Mg2 0.500 0.375 0.207
Pt1 0.000 0.375 0.550
Re1 0.500 0.875 0.703

The calculation puts the uncorrected energy at -5.440 eV per atom. Its energy above the most stable polymorph in this dataset is 146 meV/atom.

8.
First-principles (PBE) data for a geometry-optimized Mg2RePt structure, as listed in Alexandria.

a b c (Å): 2.757 5.178 5.494
angles (deg): 54.86 90.00 90.00
Fractional coordinates of all 4 atoms:
Mg1 0.000 0.000 0.000
Mg2 0.500 0.500 0.000
Pt1 0.500 0.500 0.500
Re1 0.000 0.000 0.500

The calculation puts the uncorrected energy at -5.490 eV per atom. Its energy above the most stable polymorph in this dataset is 96 meV/atom.

9.
First-principles (PBE) data for a geometry-optimized Mg2RePt structure, as listed in Alexandria.

a b c (Å): 2.773 2.773 8.345
angles (deg): 90.00 90.00 93.12
Fractional coordinates of all 4 atoms:
Mg1 0.000 0.000 0.014
Mg2 0.000 0.000 0.486
Pt1 0.500 0.500 0.250
Re1 0.500 0.500 0.750

The calculation puts the uncorrected energy at -5.586 eV per atom. Its energy above the most stable polymorph in this dataset is 0 meV/atom.

10.
First-principles (PBE) data for a geometry-optimized MgRePt2 structure, as listed in Alexandria.

a b c (Å): 4.758 4.758 5.039
angles (deg): 82.41 82.41 33.67
Fractional coordinates of all 4 atoms:
Mg1 0.250 0.250 0.250
Pt1 0.003 0.003 0.991
Pt2 0.497 0.497 0.509
Re1 0.750 0.750 0.750

The calculation puts the uncorrected energy at -6.644 eV per atom.

11.
First-principles (PBE) data for a geometry-optimized Mg2RePt structure, as listed in Alexandria.

a b c (Å): 9.603 9.603 9.603
angles (deg): 17.31 17.31 17.31
Fractional coordinates of all 4 atoms:
Mg1 0.007 0.007 0.007
Mg2 0.242 0.242 0.242
Pt1 0.497 0.497 0.497
Re1 0.754 0.754 0.754

The calculation puts the uncorrected energy at -5.376 eV per atom. Its energy above the most stable polymorph in this dataset is 210 meV/atom.

12.
First-principles (PBE) data for a geometry-optimized Mg2RePt structure, as listed in Alexandria.

a b c (Å): 4.985 4.985 4.985
angles (deg): 133.13 133.13 68.45
Fractional coordinates of all 4 atoms:
Mg1 0.000 0.000 0.000
Mg2 0.500 0.500 0.000
Pt1 0.250 0.750 0.500
Re1 0.750 0.250 0.500

The calculation puts the uncorrected energy at -5.333 eV per atom. Its energy above the most stable polymorph in this dataset is 253 meV/atom.